1.
Crystalline LiSn2Pd7 at its relaxed geometry, computed with PBE.

a = 7.627 Å, b = 7.627 Å, c = 4.212 Å
α = 90.00°, β = 90.00°, γ = 122.37°
Atoms (fractional coordinates):
Li 0.000 0.000 0.000
Sn 0.301 0.699 0.500
Sn 0.699 0.301 0.500
Pd 0.080 0.288 0.500
Pd 0.187 0.813 0.000
Pd 0.288 0.080 0.500
Pd 0.500 0.500 0.500
Pd 0.712 0.920 0.500
Pd 0.813 0.187 0.000
Pd 0.920 0.712 0.500

Properties
As for the formation enthalpy at 0 K: -44 meV/atom. Its space group is Cmmm, No. 65. The calculation puts the total magnetization at 0.00 μB per formula unit. Its density of states at the Fermi level is 0.7168 states/eV/atom.



2.
Crystalline Li2Sn4Pd at its relaxed geometry, computed with PBE.

a = 7.794 Å, b = 7.794 Å, c = 7.794 Å
α = 140.87°, β = 140.87°, γ = 56.53°
Atoms (fractional coordinates):
Li 0.108 0.108 0.000
Li 0.892 0.892 0.000
Sn 0.000 0.500 0.500
Sn 0.302 0.302 0.000
Sn 0.500 0.000 0.500
Sn 0.698 0.698 0.000
Pd 0.500 0.500 0.000

Properties
As for the formation enthalpy at 0 K: 7 meV/atom. Its space group is I4/mmm, No. 139. The calculation puts the total magnetization at 0.00 μB per formula unit. Its density of states at the Fermi level is 0.3934 states/eV/atom.



3.
Crystalline LiSn6Pd at its relaxed geometry, computed with PBE.

a = 7.554 Å, b = 7.554 Å, c = 4.951 Å
α = 108.56°, β = 108.56°, γ = 117.39°
Atoms (fractional coordinates):
Li 0.000 0.000 0.000
Sn 0.060 0.433 0.246
Sn 0.252 0.252 0.752
Sn 0.433 0.060 0.246
Sn 0.567 0.940 0.754
Sn 0.748 0.748 0.248
Sn 0.940 0.567 0.754
Pd 0.500 0.500 0.500

Properties
As for the formation enthalpy at 0 K: -143 meV/atom. Its space group is C2/m, No. 12. The calculation puts the total magnetization at 0.00 μB per formula unit. Its density of states at the Fermi level is 0.4819 states/eV/atom.



4.
Crystalline LiSn2Pd at its relaxed geometry, computed with PBE.

a = 6.710 Å, b = 6.710 Å, c = 6.710 Å
α = 97.98°, β = 97.98°, γ = 136.24°
Atoms (fractional coordinates):
Li 0.000 0.000 0.000
Li 0.750 0.250 0.500
Sn 0.220 0.625 0.095
Sn 0.375 0.470 0.595
Sn 0.530 0.125 0.905
Sn 0.875 0.780 0.405
Pd 0.250 0.750 0.500
Pd 0.500 0.500 0.000

Properties
As for the formation enthalpy at 0 K: -248 meV/atom. Its space group is I-42d, No. 122. The calculation puts the total magnetization at 0.00 μB per formula unit. Its density of states at the Fermi level is 0.3769 states/eV/atom.



5.
Crystalline LiSnPd at its relaxed geometry, computed with PBE.

a = 4.393 Å, b = 4.393 Å, c = 4.393 Å
α = 60.00°, β = 60.00°, γ = 60.00°
Atoms (fractional coordinates):
Li 0.000 0.000 0.000
Sn 0.500 0.500 0.500
Pd 0.250 0.250 0.250

Properties
As for the formation enthalpy at 0 K: -453 meV/atom. Its space group is F-43m, No. 216. The calculation puts the total magnetization at 0.00 μB per formula unit. Its density of states at the Fermi level is 0.3776 states/eV/atom.



6.
Crystalline LiSn2Pd at its relaxed geometry, computed with PBE.

a = 5.346 Å, b = 4.374 Å, c = 6.881 Å
α = 90.00°, β = 90.00°, γ = 90.00°
Atoms (fractional coordinates):
Li 0.000 0.000 0.000
Li 0.500 0.000 0.000
Sn 0.250 0.000 0.387
Sn 0.250 0.500 0.733
Sn 0.750 0.000 0.613
Sn 0.750 0.500 0.267
Pd 0.250 0.500 0.127
Pd 0.750 0.500 0.873

Properties
As for the formation enthalpy at 0 K: -382 meV/atom. Its space group is Pmma, No. 51. The calculation puts the total magnetization at 0.00 μB per formula unit. Its density of states at the Fermi level is 0.4904 states/eV/atom.



7.
Crystalline Li5SnPd6 at its relaxed geometry, computed with PBE.

a = 7.469 Å, b = 7.469 Å, c = 7.469 Å
α = 146.17°, β = 132.02°, γ = 59.99°
Atoms (fractional coordinates):
Li 0.000 0.000 0.000
Li 0.170 0.670 0.500
Li 0.336 0.336 0.000
Li 0.664 0.664 0.000
Li 0.830 0.330 0.500
Sn 0.500 0.000 0.500
Pd 0.073 0.830 0.243
Pd 0.237 0.500 0.737
Pd 0.413 0.170 0.243
Pd 0.587 0.830 0.757
Pd 0.763 0.500 0.263
Pd 0.927 0.170 0.757

Properties
As for the formation enthalpy at 0 K: -522 meV/atom. Its space group is Immm, No. 71. The calculation puts the total magnetization at 0.00 μB per formula unit. Its density of states at the Fermi level is 0.2074 states/eV/atom.



8.
Crystalline Li3Sn3Pd2 at its relaxed geometry, computed with PBE.

a = 8.072 Å, b = 8.072 Å, c = 8.072 Å
α = 33.37°, β = 33.37°, γ = 33.37°
Atoms (fractional coordinates):
Li 0.000 0.000 0.000
Li 0.123 0.123 0.123
Li 0.499 0.499 0.499
Sn 0.380 0.380 0.380
Sn 0.622 0.622 0.622
Sn 0.865 0.865 0.865
Pd 0.249 0.249 0.249
Pd 0.743 0.743 0.743

Properties
As for the formation enthalpy at 0 K: -492 meV/atom. Its space group is R3m, No. 160. The calculation puts the total magnetization at 0.00 μB per formula unit. Its density of states at the Fermi level is 0.3131 states/eV/atom. For the energy above the most stable polymorph in this dataset, the calculation gives 0 meV/atom.



9.
Crystalline Li3Sn2Pd at its relaxed geometry, computed with PBE.

a = 9.084 Å, b = 8.427 Å, c = 5.397 Å
α = 78.83°, β = 65.51°, γ = 35.65°
Atoms (fractional coordinates):
Li 0.169 0.666 0.334
Li 0.172 0.172 0.828
Li 0.334 0.831 0.169
Li 0.666 0.169 0.831
Li 0.828 0.828 0.172
Li 0.831 0.334 0.666
Sn 0.249 0.751 0.751
Sn 0.250 0.250 0.250
Sn 0.750 0.750 0.750
Sn 0.751 0.249 0.249
Pd 0.338 0.338 0.662
Pd 0.662 0.662 0.338

Properties
As for the formation enthalpy at 0 K: -399 meV/atom. Its space group is Fmmm, No. 69. The calculation puts the total magnetization at 0.00 μB per formula unit. Its density of states at the Fermi level is 0.3996 states/eV/atom. For the energy above the most stable polymorph in this dataset, the calculation gives 47 meV/atom.



10.
Crystalline LiSn5Pd6 at its relaxed geometry, computed with PBE.

a = 8.035 Å, b = 8.035 Å, c = 4.575 Å
α = 106.17°, β = 106.17°, γ = 118.54°
Atoms (fractional coordinates):
Li 0.000 0.000 0.000
Sn 0.145 0.855 0.500
Sn 0.323 0.677 0.000
Sn 0.500 0.500 0.500
Sn 0.677 0.323 0.000
Sn 0.855 0.145 0.500
Pd 0.093 0.428 0.262
Pd 0.279 0.279 0.784
Pd 0.428 0.093 0.262
Pd 0.572 0.907 0.738
Pd 0.721 0.721 0.216
Pd 0.907 0.572 0.738

Properties
As for the formation enthalpy at 0 K: -469 meV/atom. Its space group is C2/m, No. 12. The calculation puts the total magnetization at 0.00 μB per formula unit. Its density of states at the Fermi level is 0.3302 states/eV/atom.



11.
Crystalline LiSn2Pd5 at its relaxed geometry, computed with PBE.

a = 7.091 Å, b = 7.091 Å, c = 7.091 Å
α = 155.29°, β = 108.16°, γ = 77.28°
Atoms (fractional coordinates):
Li 0.000 0.000 0.000
Sn 0.256 0.756 0.500
Sn 0.744 0.244 0.500
Pd 0.137 0.373 0.764
Pd 0.391 0.627 0.764
Pd 0.500 0.000 0.500
Pd 0.609 0.373 0.236
Pd 0.863 0.627 0.236

Properties
As for the formation enthalpy at 0 K: -383 meV/atom. Its space group is Immm, No. 71. The calculation puts the total magnetization at 0.00 μB per formula unit. Its density of states at the Fermi level is 0.4806 states/eV/atom.



12.
Crystalline SrLiSn2Pd2 at its relaxed geometry, computed with PBE.

a = 4.670 Å, b = 4.670 Å, c = 6.080 Å
α = 90.00°, β = 90.00°, γ = 90.00°
Atoms (fractional coordinates):
Sr 0.000 0.000 0.000
Li 0.000 0.000 0.500
Sn 0.500 0.500 0.247
Sn 0.500 0.500 0.753
Pd 0.000 0.500 0.500
Pd 0.500 0.000 0.500

Properties
As for the formation enthalpy at 0 K: -545 meV/atom. Its space group is P4/mmm, No. 123. The calculation puts the total magnetization at 0.00 μB per formula unit. Its density of states at the Fermi level is 0.1910 states/eV/atom.



What did the first record say?
Crystalline LiSn2Pd7 at its relaxed geometry, computed with PBE.

a = 7.627 Å, b = 7.627 Å, c = 4.212 Å
α = 90.00°, β = 90.00°, γ = 122.37°
Atoms (fractional coordinates):
Li 0.000 0.000 0.000
Sn 0.301 0.699 0.500
Sn 0.699 0.301 0.500
Pd 0.080 0.288 0.500
Pd 0.187 0.813 0.000
Pd 0.288 0.080 0.500
Pd 0.500 0.500 0.500
Pd 0.712 0.920 0.500
Pd 0.813 0.187 0.000
Pd 0.920 0.712 0.500

Properties
As for the formation enthalpy at 0 K: -44 meV/atom. Its space group is Cmmm, No. 65. The calculation puts the total magnetization at 0.00 μB per formula unit. Its density of states at the Fermi level is 0.7168 states/eV/atom.